6
Lattice="3.6298 0.0000 0.0000 0.0000 3.6298 0.0000 0.0000 0.0000 11.1368" Properties=species:S:1:pos:R:3 comment="Pr3GaCu2 (PBE, optimized geometry)" polymorph_energy_mev_per_atom=0 e_tot_ev_per_cell=-27.10 n_ef_per_ev_cell=5.38 ef_ev_per_atom=-0.26 magmom_total_mub_per_atom=0.00 pbc="T T T"
Pr 0.0000 0.0000 0.0000
Pr 0.0000 0.0000 7.4882
Pr 0.0000 0.0000 3.6486
Ga 1.8149 1.8149 5.5684
Cu 1.8149 1.8149 9.3498
Cu 1.8149 1.8149 1.7869

---

24
Lattice="-4.2116 -4.8390 -1.5546 0.6533 -6.8313 5.4804 -7.7324 0.9234 4.0604" Properties=species:S:1:pos:R:3 comment="PrGa9Cu2 (PBE, optimized geometry)" e_tot_ev_per_cell=-84.03 n_ef_per_ev_cell=8.67 ef_ev_per_atom=-0.15 magmom_total_mub_per_atom=0.00 pbc="T T T"
Pr -2.1058 -2.4195 -0.7773
Pr -4.5924 -4.1637 4.3818
Ga -6.6983 -6.5832 3.6045
Ga 0.0000 0.0000 0.0000
Ga -8.8882 -10.5205 6.3546
Ga -4.9366 -3.1380 0.6962
Ga -7.1089 -4.0126 2.2973
Ga -4.6100 -7.2264 5.5309
Ga -7.0657 -8.6915 5.5807
Ga -3.7967 -1.5634 2.5636
Ga -2.1307 -6.4476 6.2466
Ga -6.6259 -1.3878 2.6750
Ga -9.1008 -6.8096 5.2361
Ga -1.7617 -3.4453 2.9082
Ga -7.3217 -1.6472 5.3676
Ga -1.4349 -6.1882 3.5540
Ga -10.9232 -8.6386 6.0100
Ga -2.9016 -5.0198 1.0409
Ga -3.9142 -6.9670 2.8383
Ga -7.8048 -4.2720 4.9899
Cu -9.3211 -5.2494 3.0551
Cu -5.1283 -9.1268 3.7652
Cu -5.4550 -5.7111 1.0249
Cu -6.8887 -6.2456 6.5726

---

4
Lattice="-4.0303 1.0421 -0.5525 -2.6488 -2.7280 -1.7822 -3.4129 -2.5791 4.0729" Properties=species:S:1:pos:R:3 comment="PrGa2Cu (PBE, optimized geometry)" e_tot_ev_per_cell=-16.84 n_ef_per_ev_cell=2.09 ef_ev_per_atom=-0.48 magmom_total_mub_per_atom=0.00 pbc="T T T"
Pr -5.0460 -2.1325 0.8691
Cu 0.0000 0.0000 0.0000
Ga -2.3855 -0.8324 -0.1278
Ga -7.7066 -3.4325 1.8660

---

9
Lattice="-2.2305 -2.3134 5.4790 -3.8889 -5.0222 -0.0218 2.0519 -5.6150 2.1464" Properties=species:S:1:pos:R:3 comment="Pr2Ga6Cu (PBE, optimized geometry)" e_tot_ev_per_cell=-36.24 n_ef_per_ev_cell=3.80 ef_ev_per_atom=-0.49 magmom_total_mub_per_atom=0.00 pbc="T T T"
Pr -1.0169 -3.2376 1.9009
Pr -3.0506 -9.7129 5.7027
Ga -1.9481 -8.2858 3.0722
Ga -2.8408 -5.8432 2.1385
Ga -1.2267 -7.1074 5.4651
Ga -2.1194 -4.6648 4.5314
Ga -3.8111 -6.8495 4.5219
Ga -0.2564 -6.1011 3.0817
Cu 0.0000 0.0000 0.0000

---

17
Lattice="7.4835 0.0000 0.0000 -2.4945 7.0556 0.0000 -2.4945 -3.5278 6.1103" Properties=species:S:1:pos:R:3 comment="PrGa12Cu4 (PBE, optimized geometry)" e_tot_ev_per_cell=-58.48 n_ef_per_ev_cell=5.94 ef_ev_per_atom=-0.06 magmom_total_mub_per_atom=0.00 pbc="T T T"
Pr 0.0000 0.0000 0.0000
Ga 4.9575 1.7862 1.1595
Ga 0.9468 3.0139 0.9671
Ga 4.0423 -1.1833 3.9837
Ga 0.0315 -1.6305 5.1432
Ga -1.5478 4.7111 2.1266
Ga 1.5478 0.5138 5.1432
Ga 2.5260 -0.1111 2.1266
Ga -0.0315 3.6389 3.9837
Ga 2.4630 5.1583 0.9671
Ga 3.4413 2.8583 3.0166
Ga -0.9468 0.6695 3.0937
Ga -2.4630 1.7416 4.9508
Cu -1.2473 3.5278 0.0000
Cu 3.7418 0.0000 0.0000
Cu 1.2473 1.7639 3.0551
Cu -1.2473 -1.7639 3.0551

---

12
Lattice="-3.1791 -0.1164 3.0465 -4.8831 -6.0404 -2.1423 2.3523 -5.7992 5.4173" Properties=species:S:1:pos:R:3 comment="Pr4Ga3Cu5 (PBE, optimized geometry)" e_tot_ev_per_cell=-51.27 n_ef_per_ev_cell=7.59 ef_ev_per_atom=-0.22 magmom_total_mub_per_atom=0.00 pbc="T T T"
Pr -2.3405 -6.0477 6.8792
Pr -2.6083 -8.6776 3.3150
Pr -3.1016 -3.2786 3.0065
Pr -3.3694 -5.9085 -0.5577
Ga 0.0388 -2.4416 3.1315
Ga -1.2654 -5.9198 1.6375
Ga -5.7488 -9.5145 3.1901
Cu -4.2190 -10.7312 4.7400
Cu -2.8550 -5.9781 3.1608
Cu -2.9144 -2.6017 0.0435
Cu -2.7955 -9.3545 6.2780
Cu -1.4909 -1.2249 1.5816